No. 1
DFT (GGA-PBE) results for a relaxed structure of PrZrRh.

Cell and atoms, written as POSCAR:
```
PrZrRh
1.0
4.6982 0.0000 0.0000
0.0000 4.6982 0.0000
0.0000 0.0000 6.7306
Pr Zr Rh
2 2 2
Cartesian
1.1745 1.1745 0.8419
3.5236 3.5236 5.8886
1.1745 3.5236 3.3653
3.5236 1.1745 3.3653
1.1745 1.1745 4.6829
3.5236 3.5236 2.0477
```

Results
Energy of formation   -0.5551 eV/atom
Offset from the most stable computed form   0.0 meV/atom


No. 2
DFT (GGA-PBE) results for a relaxed structure of Nd5Y3Sb8.

Cell and atoms, written as POSCAR:
```
Nd5Y3Sb8
1.0
4.4783 2.5855 7.3034
-4.4783 2.5855 7.3034
0.0000 -5.1711 7.3034
Nd Y Sb
5 3 8
Cartesian
0.0000 0.0000 0.0000
-2.2391 -1.2928 7.3034
-2.2391 1.2928 14.6067
0.0000 2.5855 7.3034
0.0000 0.0000 10.9550
-4.4783 0.0000 10.9550
-2.2391 1.2928 3.6517
2.2391 1.2928 3.6517
-2.2641 -1.3072 12.7402
0.0000 0.0000 5.4170
0.0000 -2.6144 9.1699
-2.2641 1.3072 9.1699
2.2641 -1.3072 12.7402
0.0000 2.6144 12.7402
0.0000 0.0000 16.4931
2.2641 1.3072 9.1699
```

Results
E_form (uncorrected)   -18.82 eV/f.u.


No. 3
DFT (GGA-PBE) results for a relaxed structure of Li2YAg.

Cell and atoms, written as POSCAR:
```
Li2YAg
1.0
3.2553 0.0000 0.0000
0.0000 5.0833 0.0000
-0.3518 0.0000 5.2723
Li Y Ag
2 1 1
Cartesian
0.4648 0.0000 1.4711
2.4387 0.0000 3.8013
1.6277 2.5417 0.0000
-0.1759 2.5417 2.6362
```

Results
Energy of formation   -0.0286 eV/atom
Offset from the most stable computed form   67.1 meV/atom


No. 4
DFT (GGA-PBE) results for a relaxed structure of Ba2SnTeIr.

Cell and atoms, written as POSCAR:
```
Ba2SnTeIr
1.0
6.1116 0.0000 0.0000
0.0000 6.1116 0.0000
0.0000 0.0000 5.0361
Ba Sn Te Ir
2 1 1 1
Cartesian
0.0000 3.0558 0.0000
3.0558 0.0000 0.0000
0.0000 0.0000 2.5180
3.0558 3.0558 2.5180
0.0000 0.0000 0.0000
```

Results
E_form (uncorrected)   -3.66 eV/f.u.


No. 5
DFT (GGA-PBE) results for a relaxed structure of ZnPbN2.

Cell and atoms, written as POSCAR:
```
ZnPbN2
1.0
0.0000 2.9737 2.9737
2.9737 0.0000 2.9737
2.9737 2.9737 0.0000
Zn Pb N
1 1 2
Cartesian
0.0000 0.0000 0.0000
2.9737 2.9737 2.9737
1.4868 1.4868 1.4868
4.4605 4.4605 4.4605
```

Results
E_form (uncorrected)   5.91 eV/f.u.
Offset from the most stable computed form   1005.1 meV/atom


No. 6
DFT (GGA-PBE) results for a relaxed structure of ZnP2BrCl.

Cell and atoms, written as POSCAR:
```
ZnP2BrCl
1.0
4.8235 0.0000 0.0000
0.0000 4.8235 0.0000
0.0000 0.0000 4.7514
Zn P Br Cl
1 2 1 1
Cartesian
0.0000 0.0000 0.0000
0.0000 2.4117 0.0000
2.4117 0.0000 0.0000
2.4117 2.4117 2.3757
0.0000 0.0000 2.3757
```

Results
E_form (uncorrected)   3.19 eV/f.u.
Offset from the most stable computed form   0.0 meV/atom


No. 7
DFT (GGA-PBE) results for a relaxed structure of RbCuI2Br6.

Cell and atoms, written as POSCAR:
```
RbCuI2Br6
1.0
7.4314 0.0000 0.0000
-2.9021 7.4336 0.0000
-1.6448 -1.9691 7.8614
Rb Cu I Br
1 1 2 6
Cartesian
0.0000 0.0000 0.0000
5.1521 2.7335 3.9265
0.0476 5.0833 1.1401
2.8330 0.3878 6.7222
-1.8861 4.9836 3.1479
-0.3584 1.8636 2.9432
-0.0182 3.6268 6.9483
2.9021 1.8457 0.9167
3.2330 3.6051 4.9122
4.7620 0.4839 4.7102
```

Results
E_form (uncorrected)   -4.29 eV/f.u.


No. 8
DFT (GGA-PBE) results for a relaxed structure of CeHo6Tm3Th2.

Cell and atoms, written as POSCAR:
```
CeHo6Tm3Th2
1.0
3.0548 -5.2870 0.0000
3.0548 5.2870 0.0000
-2.0448 0.0000 11.4620
Ce Ho Tm Th
1 6 3 2
Cartesian
0.0000 0.0000 0.0000
1.0257 1.7669 2.8452
-0.0079 0.0000 8.6143
1.0257 -1.7669 2.8452
3.0390 1.7669 8.6168
4.0726 0.0000 2.8477
3.0390 -1.7669 8.6168
2.0323 3.5231 5.7310
2.0323 0.0000 5.7310
2.0323 -3.5231 5.7310
3.0548 1.7623 0.0000
3.0548 -1.7623 0.0000
```

Results
Energy of formation   0.0348 eV/atom


Number 1: M_tot 0.00 μB/f.u.. Number 2: M_tot 0.00 μB/f.u.. Number 3: M_tot 0.00 μB/f.u.. Number 4: M_tot 0.00 μB/f.u.. Number 5: M_tot 1.04 μB/f.u.. Number 6: M_tot 1.00 μB/f.u.. Number 7: M_tot 0.00 μB/f.u.. Number 8: M_tot 0.45 μB/f.u..